# LaTa2Rh | the Alexandria database | meta-GGA SCAN | single point on PBEsol structure
data_LaTa2Rh
_chemical_formula_sum 'La2 Ta4 Rh2'
_cell_length_a 5.3683
_cell_length_b 9.9151
_cell_length_c 2.8898
_cell_angle_alpha 90.00
_cell_angle_beta 90.00
_cell_angle_gamma 90.00
_symmetry_space_group_name_H-M 'C m m m'
_symmetry_Int_Tables_number 65
_symmetry_space_group_name_Hall '-C 2 2'
loop_
_atom_site_label
_atom_site_fract_x
_atom_site_fract_y
_atom_site_fract_z
La1 0.0000 0.0000 0.0000
Ta1 0.2500 0.2500 0.5000
Rh1 0.0000 0.5000 0.0000
# * excess energy over the best structure of this formula in the dataset: 10.66 kcal/mol of atoms
# * density of states at the Fermi level: 6.87 states/eV per cell
# * total magnetic moment: 0.00 μB/f.u.